8
Lattice="8.446 0.000 0.000 0.000 4.448 0.000 -2.380 0.000 8.393" Properties=species:S:1:pos:R:3 comment="Ac4SbRhI2, optimized geometry, DFT PBE" raw_formation_energy_ev_per_atom=-1.018 spacegroup=P2/m pbc="T T T"
Ac 1.247 0.000 1.571
Ac 0.098 2.224 6.706
Ac 5.967 2.224 1.687
Ac 4.819 0.000 6.822
Sb 4.223 0.000 0.000
Rh 0.000 2.224 0.000
I -1.190 0.000 4.196
I 3.033 2.224 4.196

---

12
Lattice="3.466 -6.003 0.000 3.466 6.003 0.000 -2.312 0.000 6.542" Properties=species:S:1:pos:R:3 comment="CeDy3Er2P6, optimized geometry, DFT PBE" spacegroup=C2/m delta_e_f_ev_per_atom=-1.6001 pbc="T T T"
Ce 0.000 0.000 0.000
Dy 2.311 4.005 3.271
Dy 2.311 0.000 3.271
Dy 2.311 -4.005 3.271
Er 3.466 2.001 0.000
Er 3.466 -2.001 0.000
P 1.159 2.007 1.629
P 0.006 0.000 4.921
P 1.159 -2.007 1.629
P 3.462 2.007 4.913
P 4.615 0.000 1.621
P 3.462 -2.007 4.913

---

12
Lattice="4.566 0.000 0.000 0.000 8.513 0.000 0.000 0.000 7.463" Properties=species:S:1:pos:R:3 comment="Li2CaGaSb2, optimized geometry, DFT PBE" raw_formation_energy_ev_per_atom=-0.563 spacegroup=Pmc2_1 pbc="T T T"
Li 0.000 0.500 0.000
Li 0.000 8.013 3.732
Li 2.283 1.408 2.388
Li 2.283 7.105 6.120
Ca 2.283 3.814 7.056
Ca 2.283 4.699 3.324
Ga 0.000 2.640 4.557
Ga 0.000 5.873 0.826
Sb 0.000 2.926 1.677
Sb 0.000 5.587 5.409
Sb 2.283 1.225 5.234
Sb 2.283 7.288 1.502

---

14
Lattice="-4.544 4.544 4.373 4.544 -4.544 4.373 4.544 4.544 -4.373" Properties=species:S:1:pos:R:3 comment="PmNd5Se8, optimized geometry, DFT PBE" raw_formation_energy_ev_per_atom=-1.858 spacegroup=I-4 pbc="T T T"
Pm 0.000 0.000 0.000
Nd 2.277 3.179 -1.093
Nd 5.910 2.277 1.093
Nd 2.268 1.366 3.280
Nd 0.000 4.544 2.187
Nd -1.366 2.268 5.467
Se 2.946 0.619 0.469
Se 5.172 2.962 -1.720
Se 3.925 -1.598 3.904
Se -0.628 1.582 2.654
Se 0.619 6.143 -0.469
Se 2.962 3.917 1.720
Se 1.582 0.628 6.093
Se 1.598 3.925 4.842

---

10
Lattice="6.371 0.000 0.000 0.000 6.371 0.000 0.000 0.000 4.018" Properties=species:S:1:pos:R:3 comment="Ti2Al2Pt, optimized geometry, DFT PBE" spacegroup=P4/mbm delta_e_f_ev_per_atom=-0.6202 pbc="T T T"
Ti 1.043 2.143 0.000
Ti 2.143 5.328 0.000
Ti 4.228 1.043 0.000
Ti 5.328 4.228 0.000
Al 0.894 4.079 2.009
Al 2.292 0.894 2.009
Al 4.079 5.477 2.009
Al 5.477 2.292 2.009
Pt 0.000 0.000 2.009
Pt 3.185 3.185 2.009

---

12
Lattice="3.121 -5.403 0.000 3.121 5.403 0.000 -2.072 0.000 11.636" Properties=species:S:1:pos:R:3 comment="Pm6Y2Ho3Er, optimized geometry, DFT PBE" spacegroup=C2/m delta_e_f_ev_per_atom=0.0124 pbc="T T T"
Pm 0.005 1.796 8.736
Pm 1.035 0.000 2.899
Pm 0.005 -1.796 8.736
Pm 4.164 1.796 2.900
Pm 3.134 0.000 8.737
Pm 4.164 -1.796 2.900
Y 2.084 1.801 5.818
Y 2.084 -1.801 5.818
Ho 3.121 3.602 0.000
Ho 3.121 0.000 0.000
Ho 3.121 -3.602 0.000
Er -1.036 0.000 5.818

---

14
Lattice="6.667 0.000 0.000 0.000 5.533 0.000 -3.155 0.000 9.796" Properties=species:S:1:pos:R:3 comment="Na2PS4, optimized geometry, DFT PBE" e_above_lowest_polymorph_mev_per_atom=0 raw_formation_energy_ev_per_atom=-0.629 spacegroup=P2_1/m pbc="T T T"
Na -0.349 1.383 4.117
Na 1.999 4.150 0.685
Na 1.513 1.383 9.111
Na 3.861 4.150 5.679
P -1.555 1.383 7.603
P 5.067 4.150 2.193
S 0.271 4.150 2.954
S -1.454 1.383 9.618
S -0.321 2.815 6.731
S -0.321 5.484 6.731
S 3.833 0.049 3.066
S 3.833 2.718 3.066
S 4.965 4.150 0.178
S 3.240 1.383 6.842

---

10
Lattice="4.987 0.000 0.000 -0.051 7.209 0.000 -0.036 -1.151 8.507" Properties=species:S:1:pos:R:3 comment="K2TlHg6Au, optimized geometry, DFT PBE" spacegroup=P-1 delta_e_f_ev_per_atom=-0.1662 pbc="T T T"
K -0.015 1.922 1.318
K 4.915 4.136 7.189
Tl 2.450 3.029 4.254
Hg -0.050 5.160 3.400
Hg 2.428 1.510 7.222
Hg 2.416 5.976 5.625
Hg 2.484 0.082 2.883
Hg 2.472 4.548 1.285
Hg 4.950 0.897 5.108
Au 2.493 0.000 0.000

---

4
Lattice="2.130 1.230 7.366 -2.130 1.230 7.366 0.000 -2.460 7.366" Properties=species:S:1:pos:R:3 comment="SmAuS2, optimized geometry, DFT PBE" raw_formation_energy_ev_per_atom=-1.273 spacegroup=R-3m pbc="T T T"
Sm 0.000 0.000 0.000
Au 0.000 0.000 11.048
S 0.000 0.000 8.745
S 0.000 0.000 13.352

---

4
Lattice="2.544 -3.701 0.000 2.544 3.701 0.000 0.000 0.000 3.051" Properties=species:S:1:pos:R:3 comment="Mn2TcSe, optimized geometry, DFT PBE" raw_formation_energy_ev_per_atom=0.220 spacegroup=Cmmm pbc="T T T"
Mn 1.272 1.850 0.000
Mn 1.272 -1.850 0.000
Tc 0.000 0.000 1.525
Se 2.544 0.000 1.525

---

12
Lattice="8.124 -4.243 0.000 8.124 4.243 0.000 -1.633 0.000 4.886" Properties=species:S:1:pos:R:3 comment="In4GaPb, optimized geometry, DFT PBE" e_above_lowest_polymorph_mev_per_atom=4 spacegroup=C2/m delta_e_f_ev_per_atom=0.0620 pbc="T T T"
In 5.314 2.110 1.770
In 8.124 2.675 0.000
In 3.837 0.000 4.024
In 9.302 2.110 3.116
In 5.314 -2.110 1.770
In 10.779 0.000 0.862
In 8.124 -2.675 0.000
In 9.302 -2.110 3.116
Ga 6.855 0.000 3.622
Ga 7.762 0.000 1.264
Pb 2.722 0.000 0.942
Pb 11.894 0.000 3.944

---

12
Lattice="6.639 0.000 0.000 0.000 4.240 0.000 0.000 0.000 7.594" Properties=species:S:1:pos:R:3 comment="ErAlNi, optimized geometry, DFT PBE" spacegroup=Pnma delta_e_f_ev_per_atom=-0.6241 pbc="T T T"
Er 0.238 1.060 1.340
Er 3.082 3.180 5.137
Er 3.557 1.060 2.457
Er 6.401 3.180 6.254
Al 0.927 1.060 4.248
Al 2.393 3.180 0.451
Al 4.246 1.060 7.143
Al 5.712 3.180 3.346
Ni 1.521 3.180 2.863
Ni 1.799 1.060 6.660
Ni 4.840 3.180 0.934
Ni 5.118 1.060 4.731

---

5
Lattice="4.341 0.000 0.000 0.000 4.341 0.000 0.000 0.000 4.197" Properties=species:S:1:pos:R:3 comment="CaV2CoIr, optimized geometry, DFT PBE" spacegroup=P4/mmm delta_e_f_ev_per_atom=2.0940 pbc="T T T"
Ca 0.000 0.000 0.000
V 0.000 2.170 0.000
V 2.170 0.000 0.000
Co 0.000 0.000 2.098
Ir 2.170 2.170 2.098

---

16
Lattice="4.782 0.000 0.000 0.000 4.782 0.000 0.000 0.000 18.401" Properties=species:S:1:pos:R:3 comment="Th3ScSn12, optimized geometry, DFT PBE" spacegroup=P4/mmm delta_e_f_ev_per_atom=-0.4056 pbc="T T T"
Th 0.000 0.000 0.000
Th 0.000 0.000 4.664
Th 0.000 0.000 13.737
Sc 0.000 0.000 9.200
Sn 0.000 2.391 2.346
Sn 0.000 2.391 7.051
Sn 0.000 2.391 11.350
Sn 0.000 2.391 16.054
Sn 2.391 0.000 2.346
Sn 2.391 0.000 7.051
Sn 2.391 0.000 11.350
Sn 2.391 0.000 16.054
Sn 2.391 2.391 0.000
Sn 2.391 2.391 4.703
Sn 2.391 2.391 9.200
Sn 2.391 2.391 13.698

---

5
Lattice="4.550 0.000 0.000 0.000 4.550 0.000 0.000 0.000 4.876" Properties=species:S:1:pos:R:3 comment="TbSc2AlC, optimized geometry, DFT PBE" spacegroup=P4/mmm delta_e_f_ev_per_atom=-0.4924 pbc="T T T"
Tb 0.000 0.000 0.000
Sc 0.000 2.275 2.438
Sc 2.275 0.000 2.438
Al 2.275 2.275 0.000
C 0.000 0.000 2.438

---

9
Lattice="8.315 -2.240 0.000 8.315 2.240 0.000 -3.173 0.000 7.717" Properties=species:S:1:pos:R:3 comment="Rb2Na2PaSe4, optimized geometry, DFT PBE" raw_formation_energy_ev_per_atom=-1.221 spacegroup=C2/m pbc="T T T"
Rb 2.154 0.000 0.405
Rb 11.304 0.000 7.313
Na 3.663 0.000 4.067
Na 9.794 0.000 3.651
Pa -1.586 0.000 3.859
Se 0.969 0.000 5.240
Se 5.967 0.000 5.625
Se 7.491 0.000 2.092
Se 12.489 0.000 2.477

---

16
Lattice="8.761 0.000 0.000 0.000 7.692 0.000 0.000 0.000 7.393" Properties=species:S:1:pos:R:3 comment="GeTe4Au3, optimized geometry, DFT PBE" raw_formation_energy_ev_per_atom=-0.053 spacegroup=Pmn2_1 pbc="T T T"
Ge 0.000 1.285 0.000
Ge 4.380 6.407 3.697
Te 0.000 1.324 4.691
Te 0.000 6.470 0.955
Te 2.168 2.582 0.907
Te 2.212 5.110 4.604
Te 4.380 1.222 4.652
Te 4.380 6.369 0.994
Te 6.549 5.110 4.604
Te 6.592 2.582 0.907
Au 0.000 6.481 3.693
Au 2.170 5.162 7.333
Au 2.211 2.531 3.636
Au 4.380 1.211 7.390
Au 6.550 2.531 3.636
Au 6.591 5.162 7.333

---

5
Lattice="4.391 0.000 0.000 0.000 4.391 0.000 0.000 0.000 4.391" Properties=species:S:1:pos:R:3 comment="TlBiH3, optimized geometry, DFT PBE" e_above_lowest_polymorph_mev_per_atom=0 spacegroup=Pm-3m pbc="T T T"
Tl 0.000 0.000 0.000
Bi 2.196 2.196 2.196
H 0.000 2.196 2.196
H 2.196 0.000 2.196
H 2.196 2.196 0.000

---

10
Lattice="4.235 -4.883 0.000 4.235 4.883 0.000 0.000 0.000 8.289" Properties=species:S:1:pos:R:3 comment="LaPm2YEr, optimized geometry, DFT PBE" spacegroup=Cmcm delta_e_f_ev_per_atom=0.4301 pbc="T T T"
La 4.235 3.890 6.217
La 4.235 -3.890 2.072
Pm 1.965 0.000 0.000
Pm 1.965 0.000 4.144
Pm 6.504 0.000 0.000
Pm 6.504 0.000 4.144
Y 4.235 1.028 6.217
Y 4.235 -1.028 2.072
Er 4.235 2.360 2.072
Er 4.235 -2.360 6.217

---

13
Lattice="8.660 -1.760 0.000 8.660 1.760 0.000 -7.714 0.000 11.435" Properties=species:S:1:pos:R:3 comment="CdIn4Hg8, optimized geometry, DFT PBE" e_above_lowest_polymorph_mev_per_atom=0 spacegroup=Cm delta_e_f_ev_per_atom=0.0189 pbc="T T T"
Cd 0.000 0.000 0.000
In -1.208 0.000 7.250
In 3.139 0.000 4.013
In 12.931 0.000 1.163
In 10.869 0.000 6.605
Hg -2.933 0.000 4.493
Hg -4.719 0.000 10.207
Hg 1.343 0.000 9.013
Hg 6.798 0.000 1.866
Hg 4.763 0.000 7.400
Hg 9.982 0.000 2.082
Hg 8.446 0.000 4.715
Hg 6.904 0.000 9.974

---

3
Lattice="-1.914 1.914 5.734 1.914 -1.914 5.734 1.914 1.914 -5.734" Properties=species:S:1:pos:R:3 comment="HoTmTe, optimized geometry, DFT PBE" e_above_lowest_polymorph_mev_per_atom=54 raw_formation_energy_ev_per_atom=-0.760 spacegroup=I4mm pbc="T T T"
Ho 0.000 0.000 0.000
Tm 0.000 0.000 7.865
Te 0.000 0.000 3.906

---

8
Lattice="-3.528 3.528 2.578 3.528 -3.528 2.578 3.528 3.528 -2.578" Properties=species:S:1:pos:R:3 comment="CuPdW2, optimized geometry, DFT PBE" e_above_lowest_polymorph_mev_per_atom=222 spacegroup=I-42d delta_e_f_ev_per_atom=0.8583 pbc="T T T"
Cu 0.000 0.000 0.000
Cu 0.000 3.528 1.289
Pd 3.528 0.000 1.289
Pd 0.000 0.000 2.578
W 5.293 1.713 -0.644
W 1.713 1.764 0.644
W -1.764 1.816 1.933
W 1.816 1.764 3.222

---

Taking the records one at a time from the top gives M_tot values of 0.00 0.26 0.00 0.00 0.00 0.00 0.22 0.00 0.00 5.79 0.00 0.00 1.33 0.00 0.00 1.00 0.00 0.00 0.00 0.00 0.00 0.00 μB/f.u..
Taking the records one at a time from the top gives E_tot values of -4.894 -6.710 -3.413 -5.891 -6.483 -4.965 -4.138 -1.131 -5.336 -7.827 -2.886 -5.320 -5.147 -5.195 -6.544 -4.333 -3.430 -2.792 -4.661 -1.080 -4.823 -7.941 eV per atom.